# PaP2Rh4 | Alexandria via LeMat-Bulk | PBE-GGA | relaxed
data_PaP2Rh4
_chemical_formula_sum 'Pa2 P4 Rh8'
_symmetry_space_group_name_H-M 'P 42/m n m'
_symmetry_Int_Tables_number 136
_symmetry_space_group_name_Hall '-P 4n 2n'
_cell_length_a 7.612
_cell_length_b 7.612
_cell_length_c 3.732
_cell_angle_alpha 90.00
_cell_angle_beta 90.00
_cell_angle_gamma 90.00
loop_
_atom_site_label
_atom_site_fract_x
_atom_site_fract_y
_atom_site_fract_z
_atom_site_occupancy
Pa1 0.000 0.000 0.000 1
P1 0.228 0.228 0.500 1
Rh1 0.071 0.681 0.500 1
# Fermi-level density of states (states/eV per atom): 0.774
# Final energy (eV/cell): -111.255
# Magnetic moment (Bohr magnetons per cell): 0.00